(1)
PaAlSn2 | PBE | relaxed

abc: 4.783 4.783 14.730
angles: 90.00 90.00 120.00
Element x y z (fractional)
Pa 0.000 0.000 0.000
Pa 0.333 0.667 0.667
Pa 0.667 0.333 0.333
Al 0.000 0.000 0.500
Al 0.333 0.667 0.167
Al 0.667 0.333 0.833
Sn 0.000 0.000 0.229
Sn 0.000 0.000 0.771
Sn 0.333 0.667 0.437
Sn 0.333 0.667 0.896
Sn 0.667 0.333 0.104
Sn 0.667 0.333 0.563

- distance to the lowest polymorph of the same formula (meV/atom) = 332.5
- density of states at the Fermi level (states/eV/atom) = 0.74
- formation energy (eV per atom) = 0.05
- SG = R-3m
- energy (eV/cell) = -63.1

***

(2)
AgRuAu2 | PBE | relaxed

abc: 2.816 4.120 5.888
angles: 90.00 90.00 90.00
Element x y z (fractional)
Ag 0.000 0.000 0.000
Ru 0.500 0.500 0.747
Au 0.000 0.000 0.519
Au 0.500 0.500 0.248

- distance to the lowest polymorph of the same formula (meV/atom) = 98.6
- density of states at the Fermi level (states/eV/atom) = 0.58
- formation energy (eV per atom) = 0.35
- SG = Pmm2
- energy (eV/cell) = -17.3

***

- What is the formation energy in the second record?
  0.35 eV per atom

***

- Which formula does entry 2 have?
  AgRuAu2